Entry 1:
# Ga3IrAu PBE-GGA relaxed
# Energy of formation in eV/atom: -0.295
# Energy relative to the lowest polymorph listed for this composition in eV per atom: 0.0000
# VASP energy in eV/atom: -4.54
data_Ga3IrAu
_cell_length_a 6.8393
_cell_length_b 6.3656
_cell_length_c 9.0859
_cell_angle_alpha 90.00
_cell_angle_beta 61.98
_cell_angle_gamma 90.00
_space_group_name_H-M_alt 'P 1'
_space_group_IT_number 1
loop_
_space_group_symop_operation_xyz
'x,y,z'
loop_
_atom_site_label
_atom_site_type_symbol
_atom_site_fract_x
_atom_site_fract_y
_atom_site_fract_z
_atom_site_occupancy
Ga1 Ga 0.7692 0.5006 0.7298 1
Ga2 Ga 0.7241 0.4954 0.4133 1
Au1 Au 0.9604 0.2226 0.4878 1
Ga3 Ga 0.2241 0.0046 0.9133 1
Ga4 Ga 0.2174 0.5159 0.9001 1
Au2 Au 0.0396 0.7774 0.5122 1
Ir1 Ir 0.5217 0.7526 0.6738 1
Ir2 Ir 0.4783 0.2474 0.3262 1
Ir3 Ir 0.0217 0.7474 0.1738 1
Ir4 Ir 0.9783 0.2526 0.8262 1
Au3 Au 0.5396 0.7226 0.0122 1
Ga5 Ga 0.7308 0.0006 0.7702 1
Au4 Au 0.4604 0.2774 0.9878 1
Ga6 Ga 0.7174 0.9841 0.4001 1
Ga7 Ga 0.7826 0.4841 0.0999 1
Ga8 Ga 0.2308 0.4994 0.2702 1
Ga9 Ga 0.7759 0.9954 0.0867 1
Ga10 Ga 0.2692 0.9994 0.2298 1
Ga11 Ga 0.2826 0.0159 0.5999 1
Ga12 Ga 0.2759 0.5046 0.5867 1

=====

Entry 2:
# ErHfBeFe PBE-GGA relaxed
# Energy of formation in eV/atom: 0.010
# VASP energy in eV/atom: -6.67
data_ErHfBeFe
_cell_length_a 4.5658
_cell_length_b 4.5658
_cell_length_c 4.5658
_cell_angle_alpha 60.00
_cell_angle_beta 60.00
_cell_angle_gamma 60.00
_space_group_name_H-M_alt 'P 1'
_space_group_IT_number 1
loop_
_space_group_symop_operation_xyz
'x,y,z'
loop_
_atom_site_label
_atom_site_type_symbol
_atom_site_fract_x
_atom_site_fract_y
_atom_site_fract_z
_atom_site_occupancy
Hf1 Hf 0.7500 0.7500 0.7500 1
Fe1 Fe 0.5000 0.5000 0.5000 1
Be1 Be 0.0000 0.0000 0.0000 1
Er1 Er 0.2500 0.2500 0.2500 1

=====

Entry 3:
# NaInPb3 PBE-GGA relaxed
# Energy of formation in eV/atom: -0.037
# Energy relative to the lowest polymorph listed for this composition in eV per atom: 0.0000
# VASP energy in eV/atom: -3.07
data_NaInPb3
_cell_length_a 5.0524
_cell_length_b 8.9119
_cell_length_c 6.9629
_cell_angle_alpha 90.00
_cell_angle_beta 90.00
_cell_angle_gamma 73.46
_space_group_name_H-M_alt 'P 1'
_space_group_IT_number 1
loop_
_space_group_symop_operation_xyz
'x,y,z'
loop_
_atom_site_label
_atom_site_type_symbol
_atom_site_fract_x
_atom_site_fract_y
_atom_site_fract_z
_atom_site_occupancy
In1 In 0.9678 0.1098 0.5524 1
Pb1 Pb 0.7781 0.4893 0.5524 1
Pb2 Pb 0.3826 0.2760 0.3066 1
Na1 Na 0.5802 0.8853 0.5524 1
In2 In 0.5928 0.8559 0.0524 1
Pb3 Pb 0.1780 0.6897 0.8066 1
Pb4 Pb 0.7825 0.4764 0.0524 1
Pb5 Pb 0.1780 0.6897 0.2982 1
Pb6 Pb 0.3826 0.2760 0.7982 1
Na2 Na 0.9804 0.0804 0.0524 1

=====

Entry 4:
# Pm4Sm PBE-GGA relaxed
# Energy of formation in eV/atom: 0.618
# Energy relative to the lowest polymorph listed for this composition in eV per atom: 0.6072
# VASP energy in eV/atom: -4.13
data_Pm4Sm
_cell_length_a 5.8039
_cell_length_b 5.8039
_cell_length_c 5.8039
_cell_angle_alpha 90.00
_cell_angle_beta 90.00
_cell_angle_gamma 90.00
_space_group_name_H-M_alt 'P 1'
_space_group_IT_number 1
loop_
_space_group_symop_operation_xyz
'x,y,z'
loop_
_atom_site_label
_atom_site_type_symbol
_atom_site_fract_x
_atom_site_fract_y
_atom_site_fract_z
_atom_site_occupancy
Pm1 Pm 0.5000 0.5000 0.0000 1
Pm2 Pm 0.0000 0.5000 0.5000 1
Pm3 Pm 0.5000 0.0000 0.5000 1
Pm4 Pm 0.0000 0.0000 0.0000 1
Sm1 Sm 0.5000 0.5000 0.5000 1

=====

Entry 5:
# BaTi2CdC PBE-GGA relaxed
# Energy of formation in eV/atom: 2.305
# VASP energy in eV/atom: -3.27
data_BaTi2CdC
_cell_length_a 5.1604
_cell_length_b 4.6088
_cell_length_c 5.1604
_cell_angle_alpha 90.00
_cell_angle_beta 90.00
_cell_angle_gamma 90.00
_space_group_name_H-M_alt 'P 1'
_space_group_IT_number 1
loop_
_space_group_symop_operation_xyz
'x,y,z'
loop_
_atom_site_label
_atom_site_type_symbol
_atom_site_fract_x
_atom_site_fract_y
_atom_site_fract_z
_atom_site_occupancy
Ba1 Ba 0.0000 0.0000 0.0000 1
Ti1 Ti 0.0000 0.0000 0.5000 1
C1 C 0.0000 0.5000 0.0000 1
Ti2 Ti 0.5000 0.0000 0.0000 1
Cd1 Cd 0.5000 0.5000 0.5000 1

=====

Entry 6:
# Pr2FeSi5 PBE-GGA relaxed
# ΔE_f (raw) in kJ/mol of atoms: -41
# VASP energy in eV/atom: -6.07
data_Pr2FeSi5
_cell_length_a 6.1260
_cell_length_b 6.1260
_cell_length_c 6.1260
_cell_angle_alpha 83.91
_cell_angle_beta 123.58
_cell_angle_gamma 123.58
_space_group_name_H-M_alt 'P 1'
_space_group_IT_number 1
loop_
_space_group_symop_operation_xyz
'x,y,z'
loop_
_atom_site_label
_atom_site_type_symbol
_atom_site_fract_x
_atom_site_fract_y
_atom_site_fract_z
_atom_site_occupancy
Fe1 Fe 0.0000 0.0337 0.0337 1
Pr1 Pr 0.5000 0.2302 0.7302 1
Si1 Si 0.4350 0.7031 0.7031 1
Si2 Si 0.0000 0.2681 0.7031 1
Si3 Si 0.5650 0.2681 0.2681 1
Si4 Si 0.0000 0.7031 0.2681 1
Pr2 Pr 0.5000 0.7302 0.2302 1
Si5 Si 0.0000 0.2855 0.2855 1

=====

Going through the records in order, we get magnetization values of 0.000, 0.184, 0.000, 0.369, 0.001, 0.000 μB per cell.